(1)
PrDy4Ho15 (PBE, relaxed); energy of formation from the pure elements = 0.020 eV/atom
1.0
-4.8697 -1.0823 -0.3636
0.3816 -0.0417 -4.9870
5.3776 -24.4042 0.6155
Pr Dy Ho
1 4 15
Cartesian
0.0000 0.0000 0.0000
1.0818 -4.9093 0.1238
2.1536 -9.7734 0.2465
3.2240 -14.6308 0.3690
4.2958 -19.4949 0.4917
-2.2441 -0.5620 -2.6753
-1.1598 -5.4823 -2.5512
-0.0912 -10.3320 -2.4289
0.9807 -15.1962 -2.3063
2.0493 -20.0458 -2.1839
-1.8867 -3.0287 -0.1191
-0.8169 -7.8836 0.0034
0.2539 -12.7432 0.1259
1.3248 -17.6029 0.2485
2.3946 -22.4577 0.3709
0.7390 -2.5085 -2.4308
1.8088 -7.3633 -2.3083
2.8796 -12.2229 -2.1858
3.9505 -17.0826 -2.0632
5.0203 -21.9374 -1.9408

***

(2)
PrDy6Ho2 (PBE, relaxed); energy of formation from the pure elements = 0.018 eV/atom
1.0
0.0183 -0.2089 -3.5551
8.6197 1.2186 -0.0198
-7.2955 -10.4450 -1.2039
Pr Dy Ho
1 6 2
Cartesian
0.0000 0.0000 0.0000
3.1971 -1.8377 -3.4408
-1.8546 -7.5976 -1.3379
0.8875 -6.2654 -3.1859
-2.2826 -4.6671 -3.3033
3.6251 -4.7681 -1.4754
0.4550 -3.1698 -1.5928
5.8778 -0.3146 -1.7274
-4.5353 -9.1206 -3.0513